[1]
Density functional theory data (PBE+U) for CsNaMnF4 after structural relaxation.

Unit cell a=6.379 b=6.259 c=7.725 alpha=90.00 beta=105.85 gamma=90.00
Positions (direct):
Cs1 0.745 0.750 0.958
Cs2 0.255 0.250 0.042
Na1 0.871 0.750 0.494
Na2 0.129 0.250 0.506
Mn1 0.286 0.750 0.344
Mn2 0.714 0.250 0.656
F1 0.958 0.471 0.682
F2 0.042 0.971 0.318
F3 0.042 0.529 0.318
F4 0.958 0.029 0.682
F5 0.380 0.750 0.118
F6 0.620 0.250 0.882
F7 0.544 0.750 0.558
F8 0.456 0.250 0.442

Calculated values
Electronic total energy = -5.089 eV per atom
Total magnetization = 10.000 μB per cell

[2]
Density functional theory data (PBE+U) for Cs2NaMnF6 after structural relaxation.

Unit cell a=6.276 b=6.276 c=6.276 alpha=60.00 beta=60.00 gamma=60.00
Positions (direct):
Cs1 0.250 0.250 0.250
Cs2 0.750 0.750 0.750
Na1 0.500 0.500 0.500
Mn1 0.000 0.000 0.000
F1 0.775 0.775 0.225
F2 0.775 0.225 0.775
F3 0.225 0.775 0.225
F4 0.775 0.225 0.225
F5 0.225 0.225 0.775
F6 0.225 0.775 0.775

Calculated values
Electronic total energy = -4.855 eV per atom
Total magnetization = 4.000 μB per cell
Excess energy over the best structure of this formula in the dataset = 0.03 eV per formula unit

[3]
Density functional theory data (PBE+U) for CsNdMnF6 after structural relaxation.

Unit cell a=8.121 b=7.577 c=7.728 alpha=119.36 beta=121.70 gamma=90.00
Positions (direct):
Cs1 0.843 0.593 0.687
Cs2 0.157 0.407 0.313
Nd1 0.500 0.000 0.500
Nd2 0.000 0.000 0.500
Mn1 0.500 0.500 0.000
Mn2 0.500 0.000 0.000
F1 0.584 0.834 0.167
F2 0.856 0.106 0.711
F3 0.827 0.142 0.267
F4 0.440 0.625 0.267
F5 0.440 0.142 0.267
F6 0.827 0.625 0.267
F7 0.416 0.166 0.833
F8 0.144 0.894 0.289
F9 0.173 0.858 0.733
F10 0.560 0.375 0.733
F11 0.560 0.858 0.733
F12 0.173 0.375 0.733

Calculated values
Electronic total energy = -5.778 eV per atom
Total magnetization = 6.000 μB per cell

[4]
Density functional theory data (PBE+U) for Cs2MnNi3F12 after structural relaxation.

Unit cell a=7.414 b=7.414 c=7.414 alpha=59.22 beta=59.22 gamma=59.22
Positions (direct):
Cs1 0.617 0.617 0.617
Cs2 0.383 0.383 0.383
Mn1 0.000 0.000 0.000
Ni1 0.500 0.000 0.000
Ni2 0.000 0.500 0.000
Ni3 0.000 0.000 0.500
F1 0.325 0.325 0.933
F2 0.936 0.936 0.298
F3 0.298 0.936 0.936
F4 0.933 0.325 0.325
F5 0.936 0.298 0.936
F6 0.325 0.933 0.325
F7 0.675 0.675 0.067
F8 0.064 0.064 0.702
F9 0.702 0.064 0.064
F10 0.067 0.675 0.675
F11 0.064 0.702 0.064
F12 0.675 0.067 0.675

Calculated values
Electronic total energy = -4.556 eV per atom
Total magnetization = 9.000 μB per cell

[5]
Density functional theory data (PBE+U) for CsMnNiF2 after structural relaxation.

Unit cell a=4.866 b=4.767 c=4.866 alpha=90.00 beta=90.00 gamma=90.00
Positions (direct):
Cs1 0.500 0.500 0.500
Ni1 0.000 0.000 0.000
Mn1 0.000 0.500 0.000
F1 0.000 0.000 0.500
F2 0.500 0.000 0.000

Calculated values
Electronic total energy = -3.549 eV per atom
Total magnetization = 6.000 μB per cell

[6]
Density functional theory data (PBE+U) for CsMn2NiF8 after structural relaxation.

Unit cell a=5.487 b=5.487 c=7.553 alpha=90.00 beta=90.00 gamma=120.00
Positions (direct):
Cs1 0.000 0.000 0.000
Mn1 0.667 0.333 0.399
Mn2 0.333 0.667 0.601
Ni1 0.000 0.000 0.500
F1 0.333 0.667 0.851
F2 0.295 0.350 0.377
F3 0.650 0.945 0.377
F4 0.667 0.333 0.149
F5 0.350 0.055 0.623
F6 0.705 0.650 0.623
F7 0.945 0.295 0.623
F8 0.055 0.705 0.377

Calculated values
Electronic total energy = -5.173 eV per atom
Total magnetization = 11.000 μB per cell